[1]
Bi2SN | PBE | optimized geometry

Results
The space group is I-42d (122). The value obtained for the energy above the most stable polymorph in this dataset is 0 meV/atom. The uncorrected formation energy comes out at 405 meV per atom. The value obtained for the total energy is -4.65 eV/atom. Its total magnetization is 0.00 μB per formula unit.

Cell lengths 6.3467, 6.3467, 6.9210 Å; angles 62.71, 62.71, 90.00 degrees
With the nearest neighbours (Å) after each atom.
Sites, in units of the cell vectors:
Bi  0.1869  0.6250  0.2500  2 N 2.38
Bi  0.3750  0.4369  0.7500  2 N 2.38
Bi  0.5631  0.1250  0.2500  2 N 2.38
Bi  0.8750  0.8131  0.7500  2 N 2.38
N  0.5000  0.5000  0.0000  4 Bi 2.38
N  0.2500  0.7500  0.5000  4 Bi 2.38
S  0.0000  0.0000  0.0000  4 Bi 2.86
S  0.7500  0.2500  0.5000  4 Bi 2.86

[2]
YTmNiAg | PBE | optimized geometry

Results
As for the formation energy: -327.6 meV/atom. The space group is F-43m (216). The value obtained for the total energy is -5.22 eV/atom. Its total magnetization is 0.00 μB per formula unit.

Cell lengths 4.9458, 4.9458, 4.9458 Å; angles 60.00, 60.00, 60.00 degrees
With the nearest neighbours (Å) after each atom.
Sites, in units of the cell vectors:
Tm  0.7500  0.7500  0.7500  4 Ag 3.03, 4 Ni 3.03
Y  0.2500  0.2500  0.2500  4 Ni 3.03, 4 Ag 3.03
Ni  0.5000  0.5000  0.5000  4 Tm 3.03, 4 Y 3.03
Ag  0.0000  0.0000  0.0000  4 Y 3.03, 4 Tm 3.03

[3]
LiLa2ScH | PBE | optimized geometry

Results
The space group is P4/mmm (123). The value obtained for the energy above the most stable polymorph in this dataset is 0 meV/atom. The value obtained for the total energy is -4.40 eV/atom. Its total magnetization is 0.00 μB per formula unit.

Cell lengths 5.4930, 5.4930, 3.8741 Å; angles 90.00, 90.00, 90.00 degrees
With the nearest neighbours (Å) after each atom.
Sites, in units of the cell vectors:
Li  0.0000  0.0000  0.5000  2 H 1.94
H  0.0000  0.0000  0.0000  2 Li 1.94
Sc  0.5000  0.5000  0.5000  8 La 3.36
La  0.0000  0.5000  0.0000  2 H 2.75
La  0.5000  0.0000  0.0000  2 H 2.75

[4]
PbBr | PBE | optimized geometry

Results
The space group is P6_3/mmc (194). The uncorrected formation energy comes out at -275 meV per atom. The value obtained for the total energy is -2.97 eV/atom. Its total magnetization is 0.00 μB per formula unit.

Cell lengths 5.5448, 5.5448, 9.6165 Å; angles 90.00, 90.00, 120.00 degrees
With the nearest neighbours (Å) after each atom.
Sites, in units of the cell vectors:
Pb  0.0000  0.0000  0.7500  3 Pb 3.20
Pb  0.0000  0.0000  0.2500  3 Pb 3.20
Pb  0.6667  0.3333  0.2500  2 Br 3.11, 3 Pb 3.20
Pb  0.3333  0.6667  0.7500  2 Br 3.11, 3 Pb 3.20
Br  0.6667  0.3333  0.9263  1 Pb 3.11, 1 Br 3.39
Br  0.3333  0.6667  0.4263  1 Pb 3.11, 1 Br 3.39
Br  0.6667  0.3333  0.5737  1 Pb 3.11, 1 Br 3.39
Br  0.3333  0.6667  0.0737  1 Pb 3.11, 1 Br 3.39

[5]
CeLuScHg | PBE | optimized geometry

Results
As for the formation energy: 1.6 meV/atom. The space group is F-43m (216). The value obtained for the total energy is -4.27 eV/atom. Its total magnetization is 0.01 μB per formula unit.

Cell lengths 5.1452, 5.1452, 5.1452 Å; angles 60.00, 60.00, 60.00 degrees
With the nearest neighbours (Å) after each atom.
Sites, in units of the cell vectors:
Lu  0.5000  0.5000  0.5000  4 Hg 3.15, 4 Ce 3.15
Hg  0.7500  0.7500  0.7500  4 Lu 3.15, 4 Sc 3.15
Ce  0.2500  0.2500  0.2500  4 Sc 3.15, 4 Lu 3.15
Sc  0.0000  0.0000  0.0000  4 Hg 3.15, 4 Ce 3.15

[6]
TbGd2Au | PBE | optimized geometry

Results
As for the formation energy: -259.7 meV/atom. The space group is P4/mmm (123). The value obtained for the energy above the most stable polymorph in this dataset is 124 meV/atom. The value obtained for the total energy is -9.28 eV/atom. Its total magnetization is 15.74 μB per formula unit.

Cell lengths 4.8169, 4.7270, 4.7270 Å; angles 90.00, 90.00, 90.00 degrees
With the nearest neighbours (Å) after each atom.
Sites, in units of the cell vectors:
Gd  0.0000  0.5000  0.0000  4 Gd 3.34, 4 Tb 3.37, 4 Au 3.37
Gd  0.0000  0.0000  0.5000  4 Gd 3.34, 4 Tb 3.37, 4 Au 3.37
Tb  0.5000  0.5000  0.5000  4 Au 3.34, 8 Gd 3.37
Au  0.5000  0.0000  0.0000  4 Tb 3.34, 8 Gd 3.37

[7]
Zr2NbHOs | PBE | optimized geometry

Results
The space group is P4/mmm (123). The value obtained for the total energy is -8.55 eV/atom. Its total magnetization is 0.00 μB per formula unit.

Cell lengths 4.6605, 4.6605, 3.6034 Å; angles 90.00, 90.00, 90.00 degrees
With the nearest neighbours (Å) after each atom.
Sites, in units of the cell vectors:
Nb  0.0000  0.0000  0.5000  2 H 1.80
Zr  0.5000  0.0000  0.0000  2 H 2.33
Zr  0.0000  0.5000  0.0000  2 H 2.33
Os  0.5000  0.5000  0.5000  8 Zr 2.95, 4 Nb 3.30
H  0.0000  0.0000  0.0000  2 Nb 1.80

[8]
LiBeZn2 | PBE | optimized geometry

Results
As for the formation energy: 50.3 meV/atom. The space group is P4mm (99). The value obtained for the total energy is -2.00 eV/atom. Its total magnetization is 0.00 μB per formula unit.

Cell lengths 2.7875, 2.7875, 6.6243 Å; angles 90.00, 90.00, 90.00 degrees
With the nearest neighbours (Å) after each atom.
Sites, in units of the cell vectors:
Zn  0.5000  0.5000  0.2848  4 Be 2.40
Zn  0.0000  0.0000  0.9956  4 Li 2.65, 8 Zn 2.75-2.79
Be  0.0000  0.0000  0.4907  4 Zn 2.40, 4 Li 2.52
Li  0.5000  0.5000  0.7289  4 Be 2.52, 4 Zn 2.65, 4 Li 2.79